Record 1
Below is TmCu2SiGe after structural relaxation, with properties calculated at the PBE level.

a b c (Å): 5.807 5.807 5.807
angles (deg): 139.93 139.93 57.96
Element x y z (fractional)
Tm 0.000 0.000 0.000
Cu 0.257 0.757 0.500
Cu 0.757 0.257 0.500
Si 0.382 0.382 0.000
Ge 0.616 0.616 0.000

Output
Its uncorrected energy is -24.5 eV/cell. Its spin magnetization is 0.00 Bohr magnetons per cell. As for the space-group type: I4mm, No. 107.

Record 2
Below is Er2GePt after structural relaxation, with properties calculated at the PBE level.

a b c (Å): 5.749 4.290 7.743
angles (deg): 90.00 110.51 90.00
Element x y z (fractional)
Er 0.214 0.250 0.441
Er 0.226 0.250 0.915
Er 0.774 0.750 0.085
Er 0.786 0.750 0.559
Ge 0.322 0.750 0.206
Ge 0.678 0.250 0.794
Pt 0.345 0.750 0.710
Pt 0.655 0.250 0.290

Output
Its uncorrected energy is -48.4 eV/cell. Its spin magnetization is 0.00 Bohr magnetons per cell. As for the space-group type: P2_1/m, No. 11.

Record 3
Below is KDyCoTe3 after structural relaxation, with properties calculated at the PBE level.

a b c (Å): 12.211 4.438 13.283
angles (deg): 90.00 90.00 90.00
Element x y z (fractional)
K 0.185 0.250 0.000
K 0.315 0.750 0.500
K 0.685 0.250 0.500
K 0.815 0.750 0.000
Dy 0.022 0.250 0.317
Dy 0.478 0.750 0.817
Dy 0.522 0.250 0.183
Dy 0.978 0.750 0.683
Co 0.247 0.750 0.205
Co 0.253 0.250 0.705
Co 0.747 0.750 0.295
Co 0.753 0.250 0.795
Te 0.046 0.750 0.157
Te 0.103 0.250 0.565
Te 0.220 0.750 0.792
Te 0.280 0.250 0.292
Te 0.397 0.750 0.065
Te 0.454 0.250 0.657
Te 0.546 0.750 0.343
Te 0.603 0.250 0.935
Te 0.720 0.750 0.708
Te 0.780 0.250 0.208
Te 0.897 0.750 0.435
Te 0.954 0.250 0.843

Output
Its energy above the most stable polymorph in this dataset is 64 meV per atom. Its uncorrected energy is -107.4 eV/cell. Its spin magnetization is 8.53 Bohr magnetons per cell. As for the space-group type: Pnma, No. 62.